Entry from Alexandria via LeMat-Bulk: a relaxed structure of CrAg3F6 (PBE with a Hubbard U).

E above lowest polymorph = 0 meV/atom
total moment = 2.9 μB per formula unit
space-group type = R-3c

The structure in extended XYZ format:
```
20
Lattice="6.9113 0.1299 -0.2503 -0.2642 6.9075 -0.2503 0.1227 0.1299 6.9148" Properties=species:S:1:pos:R:3 pbc="T T T"
Ag 3.0742 0.6096 5.0609
Ag 6.4586 1.9217 3.6174
F 0.2561 2.0555 6.5960
F 1.4700 3.3407 3.5259
Cr 0.0000 0.0000 0.0000
F 1.6761 6.7066 -0.0999
F 6.6962 0.3728 1.6790
F 3.1301 3.7845 1.2778
F 3.6961 1.6580 3.0567
F 3.0738 5.5093 3.3575
Ag 5.0769 3.1039 0.1600
Cr 3.3849 3.5836 3.2071
F 5.0938 0.4607 6.5141
F 3.6397 3.3827 5.1364
Ag 0.3112 5.2456 2.7968
F 0.0736 6.7945 4.7352
F 5.2998 3.8266 2.8883
Ag 3.6957 6.5577 1.3533
Ag 1.6929 4.0634 6.2542
F 6.5137 5.1118 -0.1818
```